Record 1
The following is a DFT calculation (PBE-GGA) of CaLaNi2 after structural relaxation.

Its volume is 196.5 Å³/cell. The mass density comes out at 5.01 g/cm³. The total magnetization is 0.000 Bohr magnetons per cell. As for the crystal system: orthorhombic. The formation energy comes out at -0.43 eV per formula unit.

The space group is Imm2 (No. 44) and the conventional cell measures 3.887, 3.999 and 12.644 Å, with angles of 90.00, 90.00 and 90.00 degrees. The asymmetric unit holds Ca at (0.000, 0.000, 0.000), La at (0.000, 0.500, 0.750), Ni at (0.000, 0.000, 0.580) and Ni at (0.000, 0.500, 0.188).


Record 2
The following is a DFT calculation (PBE-GGA) of CaLaNi after structural relaxation.

Its volume is 353.1 Å³/cell. The mass density comes out at 4.47 g/cm³. The total magnetization is 0.000 Bohr magnetons per cell. As for the crystal system: orthorhombic. The formation energy comes out at -0.45 eV per formula unit. As for the energy above the most stable polymorph in this dataset: 72 meV/atom.

The space group is Immm (No. 71) and the conventional cell measures 3.847, 7.120 and 12.893 Å, with angles of 90.00, 90.00 and 90.00 degrees. The asymmetric unit holds Ca at (0.000, 0.000, 0.230), La at (0.000, 0.238, 0.500) and Ni at (0.000, 0.500, 0.102).


Record 3
The following is a DFT calculation (PBE-GGA) of CaLa2Ni after structural relaxation.

Its volume is 227.1 Å³/cell. The mass density comes out at 5.51 g/cm³. The total magnetization is 0.000 Bohr magnetons per cell. As for the crystal system: monoclinic. The formation energy comes out at 1.27 eV per formula unit. As for the energy above the most stable polymorph in this dataset: 435 meV/atom.

The space group is C2/m (No. 12) and the conventional cell measures 6.428, 10.910 and 3.573 Å, with angles of 90.00, 115.01 and 90.00 degrees. The asymmetric unit holds Ca at (0.000, 0.000, 0.000), La at (0.250, 0.250, 0.500) and Ni at (0.000, 0.500, 0.000).


Record 4
The following is a DFT calculation (PBE-GGA) of Ca2La2Ni after structural relaxation.

Its volume is 338.8 Å³/cell. The mass density comes out at 4.08 g/cm³. The total magnetization is 0.000 Bohr magnetons per cell. As for the crystal system: tetragonal. The formation energy comes out at 0.43 eV per formula unit. As for the energy above the most stable polymorph in this dataset: 0 meV/atom.

The space group is P4/mbm (No. 127) and the conventional cell measures 7.352, 7.352 and 6.269 Å, with angles of 90.00, 90.00 and 90.00 degrees. The asymmetric unit holds Ca at (0.171, 0.329, 0.000), La at (0.164, 0.664, 0.500) and Ni at (0.000, 0.000, 0.500).